Pr4CdHg7: relaxed, PBE.

POSCAR file:
```
Pr4CdHg7
1.0
5.452 0.000 0.000
2.726 8.240 1.328
2.726 1.302 7.783
Pr Hg Cd
4 7 1
Cartesian
8.178 7.134 7.088
2.726 2.408 2.023
5.452 6.642 4.015
5.452 2.900 5.096
5.452 8.984 6.194
5.452 5.534 7.135
5.452 4.008 1.976
5.452 0.558 2.917
8.178 4.046 6.311
2.726 0.000 0.000
2.726 5.496 2.800
0.000 0.000 0.000
```

Values from the calculation:
Uncorrected energy (eV/atom): -2.157
SG: C2/m, No. 12
Energy relative to the elements (meV/atom): -311
N(E_F) (states/eV/f.u.): 8.076